Density functional theory data (PBE) for a relaxed structure of Nd2ZnSnAu4.

POSCAR file:
```
Nd2ZnSnAu4
1.0
4.728 0.000 0.000
-2.364 4.095 0.000
0.000 0.000 9.458
Nd Zn Sn Au
2 1 1 4
direct
0.333 0.667 0.252 Nd
0.667 0.333 0.748 Nd
0.000 0.000 0.500 Zn
0.000 0.000 0.000 Sn
0.333 0.667 0.576 Au
0.333 0.667 0.894 Au
0.667 0.333 0.106 Au
0.667 0.333 0.424 Au
```

Computed properties:
uncorrected energy	-4.158	eV/atom
magnetic moment	0.001	μB per atom
symmetry	P-3m1, No. 164
V	22.89	A^3/atom

Density functional theory data (PBE) for a relaxed structure of SrNdTe3Au.

POSCAR file:
```
SrNdTe3Au
1.0
8.610 0.000 0.000
0.000 4.431 0.000
-2.627 0.000 10.281
Sr Nd Te Au
2 2 6 2
direct
0.229 0.250 0.289 Sr
0.771 0.750 0.711 Sr
0.309 0.750 0.831 Nd
0.691 0.250 0.169 Nd
0.054 0.250 0.848 Te
0.274 0.750 0.531 Te
0.421 0.750 0.144 Te
0.579 0.250 0.856 Te
0.726 0.250 0.469 Te
0.946 0.750 0.152 Te
0.096 0.250 0.596 Au
0.904 0.750 0.404 Au
```

Computed properties:
uncorrected energy	-4.391	eV/atom
magnetic moment	0.000	μB per atom
symmetry	P2_1/m, No. 11
V	32.68	A^3/atom

Density functional theory data (PBE) for a relaxed structure of SrNdTe3Au.

POSCAR file:
```
SrNdTe3Au
1.0
10.119 -2.212 0.000
10.119 2.212 0.000
-1.756 0.000 8.753
Sr Nd Te Au
2 2 6 2
direct
0.122 0.122 0.078 Sr
0.878 0.878 0.922 Sr
0.162 0.162 0.596 Nd
0.838 0.838 0.404 Nd
0.000 0.000 0.500 Te
0.314 0.314 0.142 Te
0.325 0.325 0.647 Te
0.500 0.500 0.000 Te
0.675 0.675 0.353 Te
0.686 0.686 0.858 Te
0.448 0.448 0.288 Au
0.552 0.552 0.712 Au
```

Computed properties:
uncorrected energy	-4.355	eV/atom
magnetic moment	0.000	μB per atom
symmetry	C2/m, No. 12
V	32.65	A^3/atom

Density functional theory data (PBE) for a relaxed structure of TbNdAu2.

POSCAR file:
```
TbNdAu2
1.0
4.726 0.000 0.000
0.000 1.899 5.575
0.000 -1.899 5.575
Tb Nd Au
1 1 2
direct
0.000 0.000 0.000 Tb
0.500 0.277 0.277 Nd
0.000 0.725 0.725 Au
0.500 0.549 0.549 Au
```

Computed properties:
formation energy from the elements	-80.8	kJ/mol of atoms
uncorrected energy	-4.818	eV/atom
magnetic moment	0.001	μB per atom
symmetry	Amm2, No. 38
V	25.02	A^3/atom

Density functional theory data (PBE) for a relaxed structure of NdTe2Au2.

POSCAR file:
```
NdTe2Au2
1.0
-2.661 2.661 9.404
2.661 -2.661 9.404
2.661 2.661 -9.404
Nd Te Au
2 4 4
direct
0.106 0.106 0.000 Nd
0.894 0.894 0.000 Nd
0.000 0.500 0.500 Te
0.287 0.287 0.000 Te
0.500 0.000 0.500 Te
0.713 0.713 0.000 Te
0.250 0.750 0.500 Au
0.426 0.426 0.000 Au
0.574 0.574 0.000 Au
0.750 0.250 0.500 Au
```

Computed properties:
uncorrected energy	-3.913	eV/atom
magnetic moment	0.000	μB per atom
symmetry	I4/mmm, No. 139
V	26.63	A^3/atom

Density functional theory data (PBE) for a relaxed structure of Nd2Te3Au.

POSCAR file:
```
Nd2Te3Au
1.0
8.506 0.000 0.000
0.000 4.343 0.000
0.000 0.000 19.627
Nd Te Au
8 12 4
direct
0.069 0.250 0.204 Nd
0.210 0.750 0.504 Nd
0.290 0.250 0.004 Nd
0.431 0.750 0.704 Nd
0.569 0.250 0.296 Nd
0.710 0.750 0.996 Nd
0.790 0.250 0.496 Nd
0.931 0.750 0.796 Nd
0.052 0.750 0.080 Te
0.149 0.250 0.387 Te
0.170 0.250 0.738 Te
0.330 0.750 0.238 Te
0.351 0.750 0.887 Te
0.448 0.250 0.580 Te
0.552 0.750 0.420 Te
0.649 0.250 0.113 Te
0.670 0.250 0.762 Te
0.830 0.750 0.262 Te
0.851 0.750 0.613 Te
0.948 0.250 0.920 Te
0.071 0.250 0.599 Au
0.429 0.750 0.099 Au
0.571 0.250 0.901 Au
0.929 0.750 0.401 Au
```

Computed properties:
polymorph energy (0 for the lowest one)	0	meV/atom
uncorrected energy	-4.829	eV/atom
magnetic moment	0.000	μB per atom
symmetry	Pnma, No. 62
V	30.21	A^3/atom